Below is a geometry-optimized PrSmSi3Au structure, with properties calculated at the GGA-PBE level.

abc: 8.3735 8.2900 5.9712
angles: 69.75 68.26 41.99
Last column: nearest neighbours and their distance in Å.
Positions (direct):
1 Sm 0.7500 0.7500 0.7500  4 Au 3.21, 8 Si 3.23
2 Sm 0.2500 0.2500 0.2500  4 Au 3.21, 8 Si 3.23
3 Si 0.3359 0.8290 0.6641  2 Si 2.36-2.37, 1 Au 2.43
4 Si 0.3355 0.3355 0.6645  2 Si 2.36, 1 Au 2.42
5 Si 0.6645 0.6645 0.3355  2 Si 2.36, 1 Au 2.42
6 Si 0.1710 0.6641 0.8290  2 Si 2.36-2.37, 1 Au 2.43
7 Si 0.8290 0.3359 0.1710  2 Si 2.36-2.37, 1 Au 2.43
8 Si 0.6641 0.1710 0.3359  2 Si 2.36-2.37, 1 Au 2.43
9 Pr 0.2574 0.7426 0.2574  10 Si 3.15-3.27, 2 Au 3.27
10 Pr 0.7426 0.2574 0.7426  10 Si 3.15-3.27, 2 Au 3.27
11 Au 0.8328 0.8328 0.1672  3 Si 2.42-2.43
12 Au 0.1672 0.1672 0.8328  3 Si 2.42-2.43

Values from the calculation:
Symmetry   Fmmm (69)
Excess energy over the best structure of this formula in the dataset   0.00 eV/f.u.